# MgAl2Ag2

A relaxed MgAl2Ag2 crystal (PBE, Alexandria via LeMat-Bulk).

Calculated values
Volume = 89.5 Å³/cell
Total magnetization = 0.000 μB per formula unit
Formation enthalpy at 0 K = -10 kJ/mol of atoms
Energy above the lowest structure with this stoichiometry = 0 meV per atom

Cell lengths 3.031, 4.550, 6.962 Å; angles 70.98, 80.98, 89.99 degrees
Atoms (fractional coordinates):
Mg (0.000, 0.000, 0.000)
Al (0.277, 0.784, 0.434)
Al (0.723, 0.216, 0.566)
Ag (0.358, 0.395, 0.212)
Ag (0.642, 0.605, 0.788)


# YCr2ReAs

A relaxed YCr2ReAs crystal (PBE, Alexandria via LeMat-Bulk).

Calculated values
Volume = 97.3 Å³/cell
Total magnetization = 0.003 μB per formula unit
Formation enthalpy at 0 K = 251 kJ/mol of atoms

Cell lengths 4.416, 4.416, 4.990 Å; angles 90.00, 90.00, 90.00 degrees
Atoms (fractional coordinates):
Y (0.000, 0.000, 0.000)
Cr (0.000, 0.500, 0.000)
Cr (0.500, 0.000, 0.000)
Re (0.500, 0.500, 0.500)
As (0.000, 0.000, 0.500)


# RbCu2BSe4

A relaxed RbCu2BSe4 crystal (PBE, Alexandria via LeMat-Bulk).

Calculated values
Volume = 176.8 Å³/cell
Total magnetization = 0.000 μB per formula unit
Formation energy from raw total energies = -0.2454 eV per atom

Cell lengths 6.252, 6.252, 6.252 Å; angles 118.40, 118.40, 92.80 degrees
Atoms (fractional coordinates):
Rb (0.000, 0.000, 0.000)
Cu (0.250, 0.750, 0.500)
Cu (0.750, 0.250, 0.500)
B (0.500, 0.500, 0.000)
Se (0.175, 0.539, 0.000)
Se (0.461, 0.461, 0.635)
Se (0.539, 0.175, 0.000)
Se (0.825, 0.825, 0.365)


# CsSbPHPt

A relaxed CsSbPHPt crystal (PBE, Alexandria via LeMat-Bulk).

Calculated values
Volume = 123.1 Å³/cell
Total magnetization = 0.000 μB per formula unit
Energy above the lowest structure with this stoichiometry = 73 meV per atom

Cell lengths 4.565, 4.565, 7.881 Å; angles 109.01, 109.01, 53.65 degrees
Atoms (fractional coordinates):
Cs (0.000, 0.000, 0.000)
Sb (0.839, 0.839, 0.401)
P (0.204, 0.204, 0.674)
H (0.392, 0.392, 0.689)
Pt (0.581, 0.581, 0.538)


# CrSbH2

A relaxed CrSbH2 crystal (PBE, Alexandria via LeMat-Bulk).

Calculated values
Volume = 47.9 Å³/cell
Total magnetization = 3.635 μB per formula unit
Energy above the lowest structure with this stoichiometry = 427 meV per atom

Cell lengths 4.075, 4.075, 4.075 Å; angles 60.00, 60.00, 60.00 degrees
Atoms (fractional coordinates):
Cr (0.000, 0.000, 0.000)
Sb (0.500, 0.500, 0.500)
H (0.250, 0.250, 0.250)
H (0.750, 0.750, 0.750)


# Mn2Pd4Au

A relaxed Mn2Pd4Au crystal (PBE, Alexandria via LeMat-Bulk).

Calculated values
Volume = 155.5 Å³/cell
Total magnetization = 9.709 μB per formula unit
Formation enthalpy at 0 K = 74 kJ/mol of atoms
Energy above the lowest structure with this stoichiometry = 838 meV per atom

Cell lengths 7.313, 7.313, 7.313 Å; angles 140.72, 140.72, 56.76 degrees
Atoms (fractional coordinates):
Mn (0.107, 0.107, 0.000)
Mn (0.893, 0.893, 0.000)
Pd (0.000, 0.500, 0.500)
Pd (0.293, 0.293, 0.000)
Pd (0.500, 0.000, 0.500)
Pd (0.707, 0.707, 0.000)
Au (0.500, 0.500, 0.000)


# KBaCa2

A relaxed KBaCa2 crystal (PBE, Alexandria via LeMat-Bulk).

Calculated values
Volume = 209.3 Å³/cell
Total magnetization = 0.000 μB per formula unit
Formation enthalpy at 0 K = 10 kJ/mol of atoms
Energy above the lowest structure with this stoichiometry = 12 meV per atom

Cell lengths 4.030, 4.030, 13.501 Å; angles 90.00, 90.00, 107.38 degrees
Atoms (fractional coordinates):
K (0.000, 0.000, 0.000)
Ba (0.000, 0.000, 0.500)
Ca (0.500, 0.500, 0.259)
Ca (0.500, 0.500, 0.741)


# K2NpTlI6

A relaxed K2NpTlI6 crystal (PBE, Alexandria via LeMat-Bulk).

Calculated values
Volume = 936.1 Å³/cell
Total magnetization = 4.000 μB per formula unit
Formation energy from raw total energies = -1.0755 eV per atom

Cell lengths 8.337, 9.152, 14.730 Å; angles 90.00, 123.60, 90.00 degrees
Atoms (fractional coordinates):
K (0.208, 0.096, 0.248)
K (0.208, 0.404, 0.748)
K (0.792, 0.596, 0.252)
K (0.792, 0.904, 0.752)
Np (0.500, 0.000, 0.000)
Np (0.500, 0.500, 0.500)
Tl (0.000, 0.000, 0.500)
Tl (0.000, 0.500, 0.000)
I (0.130, 0.176, 0.933)
I (0.130, 0.324, 0.433)
I (0.270, 0.707, 0.929)
I (0.270, 0.793, 0.429)
I (0.407, 0.053, 0.766)
I (0.407, 0.447, 0.266)
I (0.593, 0.553, 0.734)
I (0.593, 0.947, 0.234)
I (0.730, 0.207, 0.571)
I (0.730, 0.293, 0.071)
I (0.870, 0.676, 0.567)
I (0.870, 0.824, 0.067)